(1)
Compound: Sm5Tl2Te
Source: the Alexandria database
Functional: GGA-PBE
Structure: optimized geometry

Computed properties:
- distance to the lowest polymorph of the same formula (eV per atom) = 0.0000
- uncorrected formation energy (eV per atom) = -0.523
- D(E_F) (states/eV/cell) = 17.11

Lattice parameters (Å, degrees): 4.618 8.629 12.668 90.00 90.00 90.00
Atoms (fractional coordinates):
Sm 0.500 0.789 0.924
Sm 0.000 0.839 0.216
Sm 0.000 0.000 0.500
Sm 0.000 0.161 0.784
Sm 0.500 0.711 0.424
Sm 0.500 0.289 0.576
Sm 0.500 0.211 0.076
Sm 0.000 0.500 0.000
Sm 0.000 0.339 0.284
Sm 0.000 0.661 0.716
Tl 0.500 0.572 0.177
Tl 0.500 0.428 0.823
Tl 0.500 0.928 0.677
Tl 0.500 0.072 0.323
Te 0.000 0.000 0.000
Te 0.000 0.500 0.500

***

(2)
Compound: Sm5TlTe4
Source: the Alexandria database
Functional: GGA-PBE
Structure: optimized geometry

Computed properties:
- distance to the lowest polymorph of the same formula (eV per atom) = 0.0000
- uncorrected formation energy (eV per atom) = -1.216
- D(E_F) (states/eV/cell) = 4.15

Lattice parameters (Å, degrees): 6.293 7.727 7.727 80.46 65.97 65.97
Atoms (fractional coordinates):
Te 0.403 0.399 0.797
Te 0.599 0.601 0.203
Te 0.200 0.203 0.399
Te 0.802 0.797 0.601
Sm 0.099 0.607 0.197
Sm 0.501 0.000 0.000
Sm 0.706 0.197 0.393
Sm 0.296 0.803 0.607
Sm 0.903 0.393 0.803
Tl 0.001 0.000 0.000